1.
DFT (PBE) results for crystalline DyCo4Sn4 at its relaxed geometry.

Results
Calculated total energy in eV per atom: -5.392
Energy of formation in eV/atom: 0.0569
Total moment in μB per cell: 0.00
Space-group type: P4_2/n (86)

Cell: 5.157 8.310 8.310 Å, 90.00 90.00 90.00°
Sites, in units of the cell vectors:
Sn (0.105, 0.846, 0.383)
Co (0.606, 0.193, 0.653)
Dy (0.500, 0.500, 0.500)
Co (0.106, 0.847, 0.693)
Sn (0.605, 0.117, 0.346)
Dy (0.000, 0.000, 0.000)
Co (0.394, 0.347, 0.193)
Sn (0.895, 0.617, 0.846)
Sn (0.395, 0.346, 0.883)
Co (0.894, 0.307, 0.847)
Sn (0.605, 0.883, 0.654)
Co (0.394, 0.653, 0.807)
Co (0.606, 0.807, 0.347)
Co (0.894, 0.693, 0.153)
Sn (0.895, 0.383, 0.154)
Sn (0.395, 0.654, 0.117)
Co (0.106, 0.153, 0.307)
Sn (0.105, 0.154, 0.617)

---

2.
DFT (PBE) results for crystalline Pm2SmBr2N2 at its relaxed geometry.

Results
Calculated total energy in eV per atom: -6.102
Formation energy without anion corrections in meV per atom: -1214
Total moment in μB per cell: 0.95
Space-group type: I4/mmm (139)

Cell: 4.585 4.585 8.710 Å, 105.26 105.26 90.00°
Site moments in Bohr magnetons follow the coordinates.
Sites, in units of the cell vectors:
Pm (0.591, 0.591, 0.182)  0.36
N (0.500, 0.000, 0.000)  -0.02
Sm (0.000, 0.000, 0.000)  0.01
N (0.000, 0.500, 0.000)  -0.02
Br (0.817, 0.817, 0.633)  0.01
Br (0.183, 0.183, 0.367)  0.01
Pm (0.409, 0.409, 0.818)  0.36

---

3.
DFT (PBE) results for crystalline CrTcNiMo at its relaxed geometry.

Results
Calculated total energy in eV per atom: -8.970
Energy of formation in eV/atom: 0.1804
Total moment in μB per cell: 2.20
Space-group type: F-43m (216)

Cell: 4.260 4.260 4.260 Å, 60.00 60.00 60.00°
Site moments in Bohr magnetons follow the coordinates.
Sites, in units of the cell vectors:
Cr (0.750, 0.750, 0.750)  1.98
Mo (0.500, 0.500, 0.500)  -0.28
Tc (0.250, 0.250, 0.250)  0.14
Ni (0.000, 0.000, 0.000)  0.27

---

4.
DFT (PBE) results for crystalline Dy2Er3Pb4 at its relaxed geometry.

Results
Calculated total energy in eV per atom: -4.596
Energy of formation in eV/atom: -0.4041
Total moment in μB per cell: 0.00
Space-group type: C2/m (12)

Cell: 4.910 6.776 8.535 Å, 104.37 106.72 90.00°
Sites, in units of the cell vectors:
Dy (0.670, 0.067, 0.339)
Pb (0.751, 0.684, 0.502)
Er (0.112, 0.587, 0.225)
Pb (0.490, 0.717, 0.980)
Er (0.000, 0.000, 0.000)
Dy (0.330, 0.933, 0.661)
Pb (0.510, 0.283, 0.020)
Er (0.888, 0.413, 0.775)
Pb (0.249, 0.316, 0.498)

---

5.
DFT (PBE) results for crystalline Si2IrSe at its relaxed geometry.

Results
Calculated total energy in eV per atom: -5.674
Formation energy without anion corrections in meV per atom: 124
Total moment in μB per cell: 0.00
Space-group type: Pmmm (47)

Cell: 2.758 3.307 7.173 Å, 90.00 90.00 90.00°
Sites, in units of the cell vectors:
Ir (0.500, 0.500, 0.250)
Si (0.000, 0.000, 0.048)
Si (0.000, 0.000, 0.452)
Se (0.500, 0.500, 0.750)

---

6.
DFT (PBE) results for crystalline NbRe2Mo6 at its relaxed geometry.

Results
Calculated total energy in eV per atom: -11.114
Energy of formation in eV/atom: -0.0077
Total moment in μB per cell: 0.00
Space-group type: P-1 (2)

Cell: 2.743 6.885 8.250 Å, 97.58 70.47 82.46°
Sites, in units of the cell vectors:
Mo (0.336, 0.337, 0.227)
Re (0.671, 0.666, 0.445)
Nb (0.000, 0.000, 0.000)
Mo (0.331, 0.337, 0.886)
Mo (0.996, 0.000, 0.662)
Re (0.329, 0.334, 0.555)
Mo (0.664, 0.663, 0.773)
Mo (0.004, 0.000, 0.338)
Mo (0.669, 0.663, 0.114)